No. 1
Density functional theory data (PBE-GGA) for a relaxed structure of TlTcHBr6.

a b c (Å): 6.6668 7.3703 7.7953
angles (deg): 63.06 79.64 65.51
With the nearest neighbours (Å) after each atom.
Space group P1 (No. 1)
Symmetry-distinct sites (fractional):
Tl 0.0000 0.0000 0.0000  5 Br 3.20-3.54
Tc 0.1604 0.1610 0.3986  6 Br 2.51-2.59
H 0.6573 0.1612 0.4039  2 Br 1.70-1.73
Br 0.3723 0.8699 0.7036  1 Tc 2.51
Br 0.4099 0.3745 0.3289  1 H 1.70
Br 0.4166 0.9453 0.2170  1 Tc 2.52
Br 0.8997 0.3822 0.5715  1 Tc 2.51
Br 0.9081 0.9441 0.4796  1 H 1.73
Br 0.9510 0.4425 0.0900  1 Tc 2.51

Energy, eV/atom: -3.351



No. 2
Density functional theory data (PBE-GGA) for a relaxed structure of TbF3.

a b c (Å): 5.9566 5.9566 3.6290
angles (deg): 90.00 90.00 120.00
With the nearest neighbours (Å) after each atom.
Space group P6_3/m (No. 176)
Symmetry-distinct sites (fractional):
Tb 0.3333 0.6667 0.2500  9 F 2.31-2.36
F 0.0853 0.4066 0.7500  3 Tb 2.31-2.36

Raw formation energy, eV/atom: -4.15



No. 3
Density functional theory data (PBE-GGA) for a relaxed structure of Sb6Br.

a b c (Å): 8.3838 8.3838 8.3838
angles (deg): 90.00 90.00 90.00
With the nearest neighbours (Å) after each atom.
Space group Im-3m (No. 229)
Symmetry-distinct sites (fractional):
Sb 0.0000 0.2500 0.5000  4 Sb 2.96
Br 0.0000 0.0000 0.0000  24 Sb 4.69

Raw formation energy, eV/atom: 0.19



No. 4
Density functional theory data (PBE-GGA) for a relaxed structure of MnTl2Ir.

a b c (Å): 4.3350 4.3350 4.0754
angles (deg): 90.00 90.00 90.00
With the nearest neighbours (Å) after each atom.
Space group P4/mmm (No. 123)
Symmetry-distinct sites (fractional):
Mn 0.0000 0.0000 0.0000  8 Tl 2.97, 4 Ir 3.07
Tl 0.0000 0.5000 0.5000  4 Ir 2.97, 4 Mn 2.97, 4 Tl 3.07
Ir 0.5000 0.5000 0.0000  8 Tl 2.97, 4 Mn 3.07

Formation enthalpy at 0 K, eV/atom: 0.5539
ΔE to the lowest computed polymorph, eV per formula unit: 1.10



No. 5
Density functional theory data (PBE-GGA) for a relaxed structure of LiTaCo2.

a b c (Å): 6.3426 6.3426 5.2859
angles (deg): 90.00 90.00 90.00
With the nearest neighbours (Å) after each atom.
Space group I-42d (No. 122)
Symmetry-distinct sites (fractional):
Li 0.0000 0.0000 0.0000  4 Co 2.30
Ta 0.0000 0.0000 0.5000  4 Co 2.37, 2 Li 2.64
Co 0.2418 0.2500 0.1250  2 Li 2.30, 2 Ta 2.37

Formation enthalpy at 0 K, eV/atom: 0.3982



No. 6
Density functional theory data (PBE-GGA) for a relaxed structure of MgAl2Au.

a b c (Å): 7.8817 7.8817 5.3182
angles (deg): 90.00 90.00 90.00
With the nearest neighbours (Å) after each atom.
Space group I-42d (No. 122)
Symmetry-distinct sites (fractional):
Mg 0.0000 0.0000 0.0000  2 Au 2.66
Al 0.1951 0.2500 0.6250  2 Au 2.59, 2 Al 2.80
Au 0.0000 0.0000 0.5000  4 Al 2.59, 2 Mg 2.66

Formation enthalpy at 0 K, eV/atom: -0.0554